# 1
Here is Ti5Zn4Rh after structural relaxation from the Alexandria database. Energies are from PBE.

Symmetry: P4/mmm (123)
Formation energy in meV/atom: -297
Crystal system: tetragonal

a b c (Å): 3.154 3.154 15.517
angles (deg): 90.00 90.00 90.00
Sites, in units of the cell vectors:
Zn (0.000, 0.000, 0.801)
Zn (0.000, 0.000, 0.400)
Zn (0.000, 0.000, 0.600)
Zn (0.000, 0.000, 0.199)
Ti (0.500, 0.500, 0.903)
Ti (0.500, 0.500, 0.299)
Ti (0.500, 0.500, 0.097)
Ti (0.500, 0.500, 0.701)
Ti (0.500, 0.500, 0.500)
Rh (0.000, 0.000, 0.000)

---

# 2
Here is TiZn2Rh2 after structural relaxation from the Alexandria database. Energies are from PBE.

Symmetry: I4/mmm (139)
Polymorph energy (0 for the lowest one) in meV per atom: 91
Formation energy in meV/atom: -299
Crystal system: tetragonal

a b c (Å): 3.334 3.334 7.273
angles (deg): 76.75 76.75 90.00
Sites, in units of the cell vectors:
Rh (0.598, 0.598, 0.803)
Rh (0.402, 0.402, 0.197)
Ti (0.000, 0.000, 0.000)
Zn (0.250, 0.750, 0.500)
Zn (0.750, 0.250, 0.500)

---

# 3
Here is TiZn2Rh2 after structural relaxation from the Alexandria database. Energies are from PBE.

Symmetry: P4/mbm (127)
Polymorph energy (0 for the lowest one) in meV per atom: 7
Formation energy in meV/atom: -383
Crystal system: tetragonal

a b c (Å): 7.086 7.086 2.924
angles (deg): 90.00 90.00 90.00
Sites, in units of the cell vectors:
Ti (0.500, 0.500, 0.000)
Ti (0.000, 0.000, 0.000)
Zn (0.122, 0.378, 0.000)
Zn (0.622, 0.122, 0.000)
Zn (0.878, 0.622, 0.000)
Zn (0.378, 0.878, 0.000)
Rh (0.677, 0.823, 0.500)
Rh (0.823, 0.323, 0.500)
Rh (0.177, 0.677, 0.500)
Rh (0.323, 0.177, 0.500)

---

# 4
Here is Ti6ZnRh12 after structural relaxation from the Alexandria database. Energies are from PBE.

Symmetry: R-3 (148)
Formation energy in meV/atom: -578
Crystal system: trigonal

a b c (Å): 7.271 7.271 7.271
angles (deg): 110.90 110.90 110.90
Sites, in units of the cell vectors:
Rh (0.526, 0.797, 0.676)
Rh (0.266, 0.896, 0.831)
Rh (0.831, 0.266, 0.896)
Rh (0.169, 0.734, 0.104)
Rh (0.324, 0.474, 0.203)
Rh (0.896, 0.831, 0.266)
Rh (0.676, 0.526, 0.797)
Rh (0.203, 0.324, 0.474)
Rh (0.474, 0.203, 0.324)
Rh (0.734, 0.104, 0.169)
Rh (0.104, 0.169, 0.734)
Rh (0.797, 0.676, 0.526)
Zn (0.000, 0.000, 0.000)
Ti (0.371, 0.087, 0.586)
Ti (0.414, 0.629, 0.913)
Ti (0.629, 0.913, 0.414)
Ti (0.087, 0.586, 0.371)
Ti (0.586, 0.371, 0.087)
Ti (0.913, 0.414, 0.629)

---

# 5
Here is TiZnRh3 after structural relaxation from the Alexandria database. Energies are from PBE.

Symmetry: Pm-3m (221)
Polymorph energy (0 for the lowest one) in meV per atom: 568
Formation energy in meV/atom: 513
Crystal system: cubic

a b c (Å): 4.521 4.521 4.521
angles (deg): 90.00 90.00 90.00
Sites, in units of the cell vectors:
Zn (0.500, 0.500, 0.500)
Ti (0.000, 0.000, 0.000)
Rh (0.000, 0.500, 0.000)
Rh (0.500, 0.000, 0.000)
Rh (0.000, 0.000, 0.500)

---

# 6
Here is Ti2ZnRh6 after structural relaxation from the Alexandria database. Energies are from PBE.

Symmetry: C2/m (12)
Formation energy in meV/atom: -163
Crystal system: monoclinic

a b c (Å): 4.152 5.823 7.077
angles (deg): 114.30 107.08 90.00
Sites, in units of the cell vectors:
Rh (0.834, 0.084, 0.665)
Rh (0.166, 0.420, 0.335)
Rh (0.500, 0.249, 0.000)
Rh (0.166, 0.916, 0.335)
Rh (0.834, 0.580, 0.665)
Rh (0.500, 0.751, 0.000)
Ti (0.339, 0.336, 0.672)
Ti (0.661, 0.664, 0.328)
Zn (0.000, 0.000, 0.000)

---

# 7
Here is Ti12Zn2Rh5 after structural relaxation from the Alexandria database. Energies are from PBE.

Symmetry: C2/m (12)
Formation energy in meV/atom: -186
Crystal system: monoclinic

a b c (Å): 6.081 7.484 8.047
angles (deg): 97.09 90.00 113.97
Sites, in units of the cell vectors:
Rh (0.661, 0.323, 0.880)
Rh (0.339, 0.677, 0.120)
Rh (0.275, 0.550, 0.630)
Rh (0.725, 0.450, 0.370)
Rh (0.000, 0.000, 0.500)
Ti (0.127, 0.723, 0.432)
Ti (0.945, 0.371, 0.140)
Ti (0.405, 0.277, 0.568)
Ti (0.092, 0.184, 0.838)
Ti (0.486, 0.972, 0.680)
Ti (0.595, 0.723, 0.432)
Ti (0.574, 0.629, 0.860)
Ti (0.873, 0.277, 0.568)
Ti (0.055, 0.629, 0.860)
Ti (0.908, 0.816, 0.162)
Ti (0.514, 0.028, 0.320)
Ti (0.426, 0.371, 0.140)
Zn (0.704, 0.000, 0.000)
Zn (0.296, 0.000, 0.000)

---

# 8
Here is Ti2Zn4Rh after structural relaxation from the Alexandria database. Energies are from PBE.

Symmetry: I4/mmm (139)
Formation energy in meV/atom: -46
Crystal system: tetragonal

a b c (Å): 6.398 6.398 5.249
angles (deg): 127.54 127.53 90.02
Sites, in units of the cell vectors:
Ti (0.250, 0.750, 0.500)
Ti (0.750, 0.250, 0.500)
Zn (0.696, 0.696, 0.000)
Zn (0.696, 0.304, 0.000)
Zn (0.304, 0.304, 0.000)
Zn (0.304, 0.696, 0.000)
Rh (0.000, 0.000, 0.999)

---

# 9
Here is TiZn5Rh6 after structural relaxation from the Alexandria database. Energies are from PBE.

Symmetry: Cmmm (65)
Formation energy in meV/atom: -542
Crystal system: orthorhombic

a b c (Å): 4.283 6.090 6.754
angles (deg): 90.00 71.51 90.00
Sites, in units of the cell vectors:
Ti (0.000, 0.000, 0.000)
Rh (0.166, 0.751, 0.669)
Rh (0.166, 0.249, 0.669)
Rh (0.500, 0.250, 0.000)
Rh (0.834, 0.751, 0.331)
Rh (0.500, 0.750, 0.000)
Rh (0.834, 0.249, 0.331)
Zn (0.333, 0.500, 0.334)
Zn (0.000, 0.500, 0.000)
Zn (0.667, 0.000, 0.667)
Zn (0.667, 0.500, 0.666)
Zn (0.333, 0.000, 0.333)

---

# 10
Here is Ti2ZnRh4 after structural relaxation from the Alexandria database. Energies are from PBE.

Symmetry: R-3m (166)
Formation energy in meV/atom: -556
Crystal system: trigonal

a b c (Å): 4.248 4.248 7.294
angles (deg): 73.07 73.07 60.00
Sites, in units of the cell vectors:
Rh (0.379, 0.379, 0.864)
Rh (0.128, 0.128, 0.617)
Rh (0.621, 0.621, 0.136)
Rh (0.872, 0.872, 0.383)
Zn (0.000, 0.000, 0.000)
Ti (0.751, 0.751, 0.748)
Ti (0.249, 0.249, 0.252)

---

# 11
Here is TiZn2Rh2 after structural relaxation from the Alexandria database. Energies are from PBE.

Symmetry: P4/mbm (127)
Polymorph energy (0 for the lowest one) in meV per atom: 4
Formation energy in meV/atom: -386
Crystal system: tetragonal

a b c (Å): 6.974 6.974 3.080
angles (deg): 90.00 90.00 90.00
Sites, in units of the cell vectors:
Zn (0.649, 0.851, 0.500)
Zn (0.149, 0.649, 0.500)
Zn (0.851, 0.351, 0.500)
Zn (0.351, 0.149, 0.500)
Rh (0.850, 0.650, 0.000)
Rh (0.350, 0.850, 0.000)
Rh (0.150, 0.350, 0.000)
Rh (0.650, 0.150, 0.000)
Ti (0.500, 0.500, 0.000)
Ti (0.000, 0.000, 0.000)

---

# 12
Here is Ti5Zn2Rh after structural relaxation from the Alexandria database. Energies are from PBE.

Symmetry: I4/mmm (139)
Polymorph energy (0 for the lowest one) in meV per atom: 0
Formation energy in meV/atom: -233
Crystal system: tetragonal

a b c (Å): 3.804 3.804 9.055
angles (deg): 102.12 102.12 90.00
Sites, in units of the cell vectors:
Ti (0.129, 0.629, 0.259)
Ti (0.500, 0.500, 0.000)
Ti (0.371, 0.871, 0.741)
Ti (0.629, 0.129, 0.259)
Ti (0.871, 0.371, 0.741)
Zn (0.249, 0.249, 0.497)
Zn (0.751, 0.751, 0.503)
Rh (0.000, 0.000, 0.000)

---

# 13
Here is TiZnRh3 after structural relaxation from the Alexandria database. Energies are from PBE.

Symmetry: P6_3/mmc (194)
Polymorph energy (0 for the lowest one) in meV per atom: 0
Formation energy in meV/atom: -55
Crystal system: hexagonal

a b c (Å): 4.443 6.385 6.385
angles (deg): 119.96 90.00 90.00
Sites, in units of the cell vectors:
Rh (0.250, 0.395, 0.198)
Rh (0.750, 0.197, 0.803)
Rh (0.250, 0.803, 0.197)
Rh (0.250, 0.802, 0.605)
Rh (0.750, 0.198, 0.395)
Rh (0.750, 0.605, 0.802)
Zn (0.000, 0.000, 0.000)
Zn (0.500, 0.000, 0.000)
Ti (0.750, 0.666, 0.334)
Ti (0.250, 0.334, 0.666)

---

# 14
Here is Ti11Zn9Rh4 after structural relaxation from the Alexandria database. Energies are from PBE.

Symmetry: Cmmm (65)
Formation energy in meV/atom: -375
Crystal system: orthorhombic

a b c (Å): 3.009 11.660 11.660
angles (deg): 112.87 90.00 90.00
Sites, in units of the cell vectors:
Ti (0.000, 0.000, 0.000)
Ti (0.000, 0.159, 0.841)
Ti (0.000, 0.841, 0.159)
Ti (0.000, 0.638, 0.362)
Ti (0.000, 0.409, 0.059)
Ti (0.000, 0.591, 0.941)
Ti (0.000, 0.941, 0.591)
Ti (0.000, 0.059, 0.409)
Ti (0.000, 0.290, 0.290)
Ti (0.000, 0.710, 0.710)
Ti (0.000, 0.362, 0.638)
Zn (0.500, 0.844, 0.364)
Zn (0.500, 0.636, 0.156)
Zn (0.500, 0.210, 0.065)
Zn (0.500, 0.065, 0.210)
Zn (0.500, 0.790, 0.935)
Zn (0.500, 0.500, 0.500)
Zn (0.500, 0.935, 0.790)
Zn (0.500, 0.156, 0.636)
Zn (0.500, 0.364, 0.844)
Rh (0.500, 0.553, 0.756)
Rh (0.500, 0.756, 0.553)
Rh (0.500, 0.447, 0.244)
Rh (0.500, 0.244, 0.447)

---

# 15
Here is Ti6Zn5Rh after structural relaxation from the Alexandria database. Energies are from PBE.

Symmetry: C2/m (12)
Formation energy in meV/atom: -264
Crystal system: monoclinic

a b c (Å): 4.422 6.303 7.687
angles (deg): 65.80 73.23 90.00
Sites, in units of the cell vectors:
Zn (0.000, 0.500, 0.000)
Zn (0.333, 0.333, 0.333)
Zn (0.331, 0.831, 0.339)
Zn (0.669, 0.169, 0.661)
Zn (0.667, 0.667, 0.667)
Ti (0.500, 0.247, 0.000)
Ti (0.500, 0.753, 0.000)
Ti (0.835, 0.083, 0.331)
Ti (0.165, 0.414, 0.669)
Ti (0.835, 0.586, 0.331)
Ti (0.165, 0.917, 0.669)
Rh (0.000, 0.000, 0.000)

---

# 16
Here is Ti2Zn2Rh after structural relaxation from the Alexandria database. Energies are from PBE.

Symmetry: Cmmm (65)
Polymorph energy (0 for the lowest one) in meV per atom: 0
Formation energy in meV/atom: -346
Crystal system: orthorhombic

a b c (Å): 2.852 4.063 6.861
angles (deg): 72.78 90.00 90.00
Sites, in units of the cell vectors:
Zn (0.000, 0.801, 0.398)
Zn (0.000, 0.199, 0.602)
Rh (0.000, 0.000, 0.000)
Ti (0.500, 0.399, 0.203)
Ti (0.500, 0.601, 0.797)

---

# 17
Here is Ti2ZnRh2 after structural relaxation from the Alexandria database. Energies are from PBE.

Symmetry: P4/mbm (127)
Formation energy in meV/atom: -424
Crystal system: tetragonal

a b c (Å): 7.434 7.434 2.883
angles (deg): 90.00 90.00 90.00
Sites, in units of the cell vectors:
Ti (0.650, 0.150, 0.000)
Ti (0.350, 0.850, 0.000)
Ti (0.850, 0.650, 0.000)
Ti (0.150, 0.350, 0.000)
Rh (0.854, 0.354, 0.500)
Rh (0.146, 0.646, 0.500)
Rh (0.646, 0.854, 0.500)
Rh (0.354, 0.146, 0.500)
Zn (0.000, 0.000, 0.000)
Zn (0.500, 0.500, 0.000)

---

# 18
Here is Ti2Zn3Rh2 after structural relaxation from the Alexandria database. Energies are from PBE.

Symmetry: C2/m (12)
Formation energy in meV/atom: -492
Crystal system: monoclinic

a b c (Å): 4.413 4.416 6.598
angles (deg): 98.72 101.12 119.05
Sites, in units of the cell vectors:
Ti (0.422, 0.743, 0.165)
Ti (0.578, 0.257, 0.835)
Rh (0.801, 0.445, 0.245)
Rh (0.199, 0.555, 0.755)
Zn (0.000, 0.000, 0.000)
Zn (0.782, 0.815, 0.597)
Zn (0.218, 0.185, 0.403)

---

# 19
Here is Ti2Zn2Rh after structural relaxation from the Alexandria database. Energies are from PBE.

Symmetry: P4/mbm (127)
Polymorph energy (0 for the lowest one) in meV per atom: 91
Formation energy in meV/atom: -255
Crystal system: tetragonal

a b c (Å): 6.664 6.664 3.435
angles (deg): 90.00 90.00 90.00
Sites, in units of the cell vectors:
Ti (0.673, 0.827, 0.500)
Ti (0.327, 0.173, 0.500)
Ti (0.827, 0.327, 0.500)
Ti (0.173, 0.673, 0.500)
Zn (0.629, 0.129, 0.000)
Zn (0.371, 0.871, 0.000)
Zn (0.871, 0.629, 0.000)
Zn (0.129, 0.371, 0.000)
Rh (0.000, 0.000, 0.000)
Rh (0.500, 0.500, 0.000)

---

# 20
Here is Ti5ZnRh6 after structural relaxation from the Alexandria database. Energies are from PBE.

Symmetry: Immm (71)
Formation energy in meV/atom: -745
Crystal system: orthorhombic

a b c (Å): 4.221 7.430 7.430
angles (deg): 115.93 106.48 106.48
Sites, in units of the cell vectors:
Ti (0.500, 0.500, 0.500)
Ti (0.000, 0.667, 0.333)
Ti (0.500, 0.839, 0.161)
Ti (0.500, 0.161, 0.839)
Ti (0.000, 0.333, 0.667)
Zn (0.000, 0.000, 0.000)
Rh (0.250, 0.419, 0.082)
Rh (0.250, 0.082, 0.419)
Rh (0.750, 0.918, 0.581)
Rh (0.248, 0.748, 0.748)
Rh (0.750, 0.581, 0.918)
Rh (0.752, 0.252, 0.252)